A plane-wave DFT calculation with PBE was carried out for an optimized crystal structure of TaMnAs2Br.

As for the uncorrected formation energy: 0.875 eV/atom. For the energy above the most stable polymorph in this dataset, the calculation gives 0.405 eV/atom.

The structure belongs to space group P4/mmm (No. 123); the cell edges are 4.6722, 4.6722 and 4.8673 Å and the angles 90.00°, 90.00° and 90.00°. The inequivalent atoms are Ta at (0.0000, 0.0000, 0.0000), Mn at (0.5000, 0.5000, 0.5000), As at (0.0000, 0.5000, 0.5000) and Br at (0.5000, 0.5000, 0.0000).